Record 1
Entry from Alexandria: a relaxed structure of SrCuH3 (PBE).

POSCAR file:
```
SrCuH3
1.0
4.277 0.000 0.000
-2.138 3.704 0.000
0.000 0.000 7.203
Sr Cu H
2 2 6
Direct
0.333 0.667 0.250
0.667 0.333 0.750
0.000 0.000 0.000
0.000 0.000 0.500
0.000 0.000 0.250
0.000 0.000 0.750
0.333 0.667 0.595
0.333 0.667 0.905
0.667 0.333 0.095
0.667 0.333 0.405
```

Properties
Crystal system   hexagonal
Magnetic moment   0.000 μB/atom

Record 2
Entry from Alexandria: a relaxed structure of SrCuH3 (PBE).

POSCAR file:
```
SrCuH3
1.0
6.588 0.000 0.000
0.000 9.284 0.000
0.000 0.000 4.509
Sr Cu H
4 4 12
Direct
0.000 0.000 0.000
0.000 0.500 0.000
0.500 0.000 0.500
0.500 0.500 0.500
0.149 0.250 0.426
0.351 0.750 0.926
0.649 0.250 0.074
0.851 0.750 0.574
0.087 0.750 0.769
0.153 0.086 0.539
0.153 0.414 0.539
0.347 0.586 0.039
0.347 0.914 0.039
0.413 0.250 0.269
0.587 0.750 0.731
0.653 0.086 0.961
0.653 0.414 0.961
0.847 0.586 0.461
0.847 0.914 0.461
0.913 0.250 0.231
```

Properties
Crystal system   orthorhombic
Magnetic moment   0.000 μB/atom

Record 3
Entry from Alexandria: a relaxed structure of SrCuH3 (PBE).

POSCAR file:
```
SrCuH3
1.0
4.722 -5.877 0.000
4.722 5.877 0.000
0.000 0.000 4.671
Sr Cu H
4 4 12
Direct
0.136 0.864 0.785
0.364 0.636 0.285
0.636 0.364 0.715
0.864 0.136 0.215
0.169 0.331 0.750
0.331 0.169 0.250
0.669 0.831 0.750
0.831 0.669 0.250
0.047 0.714 0.315
0.175 0.175 0.000
0.214 0.547 0.815
0.286 0.953 0.315
0.325 0.325 0.500
0.453 0.786 0.815
0.547 0.214 0.185
0.675 0.675 0.500
0.714 0.047 0.685
0.786 0.453 0.185
0.825 0.825 0.000
0.953 0.286 0.685
```

Properties
Crystal system   orthorhombic
Magnetic moment   0.000 μB/atom

Record 4
Entry from Alexandria: a relaxed structure of SrCuH3 (PBE).

POSCAR file:
```
SrCuH3
1.0
-2.105 2.105 7.479
2.105 -2.105 7.479
2.105 2.105 -7.479
Sr Cu H
2 2 6
Direct
0.118 0.118 0.000
0.882 0.882 0.000
0.500 0.500 0.000
0.750 0.250 0.500
0.009 0.509 0.500
0.092 0.327 0.765
0.491 0.991 0.500
0.561 0.327 0.235
0.673 0.439 0.765
0.673 0.908 0.235
```

Properties
Crystal system   tetragonal
Magnetic moment   0.000 μB/atom

| no. | uncorrected energy (eV/atom) |
| --- | --- |
| 1 | -3.2114 |
| 2 | -3.4493 |
| 3 | -3.4521 |
| 4 | -3.2154 |